First-principles (PBE) data for a relaxed LaReB14 crystal, as listed in the Alexandria database.

## Properties
ΔE_f: -0.06 eV per atom
uncorrected energy: -223.72 eV for the cell shown
DOS(E_F): 7.82 states/eV/cell

abc: 5.8929 7.4899 7.4899
angles: 67.76 66.83 66.83
Element x y z (fractional)
B: 0.3238 0.9729 0.8721
B: 0.3311 0.3721 0.4729
B: 0.6023 0.4008 0.7202
B: 0.6762 0.0271 0.1279
B: 0.7767 0.2202 0.9008
B: 0.1689 0.0271 0.1279
B: 0.5834 0.2496 0.5837
B: 0.8238 0.3721 0.4729
B: 0.6196 0.0152 0.7457
B: 0.8804 0.7543 0.4848
B: 0.8977 0.7798 0.0992
B: 0.0834 0.0837 0.7496
La: 0.7500 0.6242 0.8758
B: 0.6689 0.6279 0.5271
B: 0.8339 0.2036 0.1286
B: 0.3977 0.5992 0.2798
B: 0.3804 0.9848 0.2543
B: 0.1196 0.2457 0.5152
B: 0.7233 0.5992 0.2798
Re: 0.5000 0.0000 0.5000
B: 0.2233 0.7798 0.0992
La: 0.2500 0.3758 0.1242
B: 0.9166 0.9163 0.2504
B: 0.3339 0.6286 0.7036
B: 0.1023 0.2202 0.9008
B: 0.2767 0.4008 0.7202
B: 0.8311 0.9729 0.8721
B: 0.4166 0.7504 0.4163
B: 0.1762 0.6279 0.5271
B: 0.6661 0.3714 0.2964
B: 0.1661 0.7964 0.8714
Re: 0.0000 0.0000 0.5000

First-principles (PBE) data for a relaxed La2Re3B7 crystal, as listed in the Alexandria database.

## Properties
ΔE_f: -0.47 eV per atom
uncorrected energy: -398.46 eV for the cell shown
DOS(E_F): 15.56 states/eV/cell

abc: 6.8074 7.7002 11.6844
angles: 90.00 90.00 90.00
Element x y z (fractional)
Re: 0.6050 0.5913 0.5802
B: 0.8773 0.9602 0.1832
La: 0.7637 0.8228 0.8225
B: 0.8773 0.0398 0.3168
La: 0.2363 0.1772 0.1775
B: 0.3661 0.0000 0.7500
B: 0.8962 0.9669 0.4590
La: 0.7637 0.1772 0.6775
B: 0.1038 0.5331 0.4590
La: 0.7637 0.6772 0.3225
B: 0.1227 0.5398 0.1832
B: 0.6986 0.6293 0.0385
Re: 0.3950 0.5913 0.0802
B: 0.3014 0.3707 0.9615
Re: 0.0000 0.7500 0.5683
B: 0.6986 0.3707 0.4615
B: 0.8773 0.4602 0.8168
B: 0.3014 0.6293 0.5385
B: 0.1227 0.0398 0.8168
B: 0.6339 0.0000 0.2500
Re: 0.3950 0.0913 0.9198
B: 0.1038 0.9669 0.9590
B: 0.6339 0.5000 0.7500
Re: 0.6050 0.0913 0.4198
Re: 0.0000 0.2500 0.9317
B: 0.1038 0.4669 0.0410
B: 0.8962 0.4669 0.5410
B: 0.8773 0.5398 0.6832
La: 0.7637 0.3228 0.1775
Re: 0.0000 0.7500 0.0683
Re: 0.6050 0.9087 0.0802
La: 0.2363 0.6772 0.8225
La: 0.2363 0.8228 0.3225
Re: 0.6050 0.4087 0.9198
B: 0.1227 0.4602 0.3168
Re: 0.3950 0.4087 0.4198
B: 0.8962 0.0331 0.0410
B: 0.1227 0.9602 0.6832
B: 0.6986 0.8707 0.5385
B: 0.3014 0.8707 0.0385
B: 0.3661 0.5000 0.2500
B: 0.6986 0.1293 0.9615
B: 0.1038 0.0331 0.5410
B: 0.3014 0.1293 0.4615
Re: 0.0000 0.2500 0.4317
La: 0.2363 0.3228 0.6775
Re: 0.3950 0.9087 0.5802
B: 0.8962 0.5331 0.9590

First-principles (PBE) data for a relaxed LaRe4B4 crystal, as listed in the Alexandria database.

## Properties
distance to the lowest polymorph of the same formula: 0 meV per atom
ΔE_f: -0.32 eV per atom
uncorrected energy: -168.71 eV for the cell shown
DOS(E_F): 10.28 states/eV/cell

abc: 4.2462 7.5352 7.5352
angles: 90.00 90.00 90.00
Element x y z (fractional)
B: 0.8708 0.6709 0.1913
Re: 0.8671 0.6249 0.8681
La: 0.5000 0.5000 0.5000
Re: 0.6329 0.1249 0.3681
B: 0.8708 0.3291 0.8087
B: 0.6292 0.1709 0.6913
B: 0.6292 0.8291 0.3087
Re: 0.6329 0.8751 0.6319
La: 0.0000 0.0000 0.0000
Re: 0.8671 0.3751 0.1319
B: 0.3708 0.3087 0.1709
Re: 0.3671 0.3681 0.8751
Re: 0.3671 0.6319 0.1249
Re: 0.1329 0.8681 0.3751
Re: 0.1329 0.1319 0.6249
B: 0.3708 0.6913 0.8291
B: 0.1292 0.1913 0.3291
B: 0.1292 0.8087 0.6709

First-principles (PBE) data for a relaxed LaReB crystal, as listed in the Alexandria database.

## Properties
distance to the lowest polymorph of the same formula: 0 meV per atom
ΔE_f: -0.16 eV per atom
uncorrected energy: -49.05 eV for the cell shown
DOS(E_F): 2.81 states/eV/cell

abc: 3.5660 4.9847 6.6911
angles: 91.28 74.55 69.04
Element x y z (fractional)
La: 0.2821 0.2948 0.1411
B: 0.9137 0.8840 0.2886
B: 0.0863 0.1160 0.7114
Re: 0.6023 0.2409 0.5544
Re: 0.3977 0.7591 0.4456
La: 0.7179 0.7052 0.8589

First-principles (PBE) data for a relaxed La3ReB crystal, as listed in the Alexandria database.

## Properties
distance to the lowest polymorph of the same formula: 0 meV per atom
ΔE_f: 0.74 eV per atom
uncorrected energy: -30.19 eV for the cell shown
DOS(E_F): 7.83 states/eV/cell

abc: 5.1444 5.1444 5.1444
angles: 90.00 90.00 90.00
Each line ends with the local moment (μB).
Element x y z (fractional)
B: 0.0000 0.0000 0.0000  0.02
La: 0.5000 0.0000 0.0000  -0.09
La: 0.0000 0.5000 0.0000  -0.05
La: 0.0000 0.0000 0.5000  -0.05
Re: 0.5000 0.5000 0.5000  1.19

First-principles (PBE) data for a relaxed La2ReB2 crystal, as listed in the Alexandria database.

## Properties
distance to the lowest polymorph of the same formula: 0 meV per atom
ΔE_f: 0.88 eV per atom
uncorrected energy: -31.25 eV for the cell shown
DOS(E_F): 3.84 states/eV/cell

abc: 2.9092 2.9092 10.3054
angles: 81.89 81.89 90.00
Element x y z (fractional)
La: 0.6254 0.6254 0.7492
La: 0.3746 0.3746 0.2508
Re: 0.0000 0.0000 0.0000
B: 0.2500 0.7500 0.5000
B: 0.7500 0.2500 0.5000

Look up the ΔE_f of the second one. -0.47 eV per atom

What is the DOS(E_F) in the fourth record? 2.81 states/eV/cell

Which value of uncorrected energy does entry 6 give? -31.25 eV for the cell shown